1.
Cs3Se2O8 after structural relaxation. Source: Alexandria via LeMat-Bulk, functional PBE-GGA.

POSCAR file:
```
Cs3Se2O8
1.0
-0.642 -5.067 3.989
5.141 -3.680 1.425
3.142 1.736 8.028
Cs O Se
3 8 2
Direct
0.783 0.804 0.619
0.196 0.217 0.381
0.989 0.011 0.000
0.274 0.721 0.294
0.700 0.295 0.294
0.705 0.300 0.706
0.652 0.673 0.016
0.279 0.726 0.706
0.699 0.721 0.294
0.279 0.301 0.706
0.327 0.348 0.984
0.399 0.420 0.772
0.580 0.601 0.228
```

symmetry = C2/m
formation energy without anion corrections = -1.17 eV per atom

2.
CaPaSe3 after structural relaxation. Source: Alexandria via LeMat-Bulk, functional PBE-GGA.

POSCAR file:
```
CaPaSe3
1.0
7.248 0.000 0.000
0.000 7.313 0.000
0.000 -3.656 6.333
Pa Se Ca
2 6 2
Direct
0.500 0.667 0.333
0.000 0.667 0.333
0.750 0.345 0.289
0.750 0.945 0.655
0.750 0.711 0.055
0.250 0.345 0.055
0.250 0.711 0.655
0.250 0.945 0.289
0.000 0.000 0.000
0.500 0.000 0.000
```

symmetry = P-6c2
distance to the lowest polymorph of the same formula = 71 meV/atom
formation energy without anion corrections = -1.54 eV per atom

> formation energy without anion corrections of number 2 (CaPaSe3)?

-1.54 eV per atom